{
  "formula": "Zr2CdMo",
  "functional": "SCAN",
  "state": "PBEsol geometry",
  "lattice": [[2.837, 0.000, 0.000], [0.000, 2.837, 0.000], [0.000, 0.000, 9.530]],
  "species": ["Zr", "Zr", "Cd", "Mo"],
  "frac_coords": [[0.000, 0.000, 0.000], [0.500, 0.500, 0.269], [0.000, 0.000, 0.525], [0.500, 0.500, 0.754]],
  "n_ef_per_ev_atom": 0.7643,
  "magnetic_moment_mub_per_cell": 0.0,
  "spacegroup": "No. 99",
  "dft_energy_ev_per_atom": -31.463
}

***

{
  "formula": "ScHg2",
  "functional": "SCAN",
  "state": "PBEsol geometry",
  "lattice": [[6.113, 0.000, 0.000], [0.000, 4.662, 0.000], [0.000, 0.000, 8.717]],
  "species": ["Sc", "Sc", "Sc", "Sc", "Hg", "Hg", "Hg", "Hg", "Hg", "Hg", "Hg", "Hg"],
  "frac_coords": [[0.170, 0.250, 0.091], [0.330, 0.750, 0.591], [0.670, 0.250, 0.409], [0.830, 0.750, 0.909], [0.054, 0.250, 0.760], [0.165, 0.250, 0.423], [0.335, 0.750, 0.923], [0.446, 0.750, 0.260], [0.554, 0.250, 0.740], [0.665, 0.250, 0.077], [0.835, 0.750, 0.577], [0.946, 0.750, 0.240]],
  "n_ef_per_ev_atom": 0.5329,
  "magnetic_moment_mub_per_cell": 0.0,
  "spacegroup": "No. 62",
  "dft_energy_ev_per_atom": -50.654
}

***

{
  "formula": "GaPd2",
  "functional": "SCAN",
  "state": "PBEsol geometry",
  "lattice": [[5.456, 0.000, 0.000], [0.000, 4.041, 0.000], [0.000, 0.000, 7.760]],
  "species": ["Ga", "Ga", "Ga", "Ga", "Pd", "Pd", "Pd", "Pd", "Pd", "Pd", "Pd", "Pd"],
  "frac_coords": [[0.201, 0.250, 0.107], [0.299, 0.750, 0.607], [0.701, 0.250, 0.393], [0.799, 0.750, 0.893], [0.042, 0.250, 0.789], [0.165, 0.250, 0.434], [0.335, 0.750, 0.934], [0.458, 0.750, 0.289], [0.542, 0.250, 0.711], [0.665, 0.250, 0.066], [0.835, 0.750, 0.566], [0.958, 0.750, 0.211]],
  "n_ef_per_ev_atom": 0.4025,
  "magnetic_moment_mub_per_cell": 0.0,
  "spacegroup": "No. 62",
  "dft_energy_ev_per_atom": -27.942
}

***

{
  "formula": "La3Zr",
  "functional": "SCAN",
  "state": "PBEsol geometry",
  "lattice": [[3.478, 0.000, 0.000], [0.000, 3.478, 0.000], [0.000, 0.000, 9.905]],
  "species": ["La", "La", "La", "Zr"],
  "frac_coords": [[0.000, 0.000, 0.000], [0.500, 0.500, 0.268], [0.500, 0.500, 0.732], [0.000, 0.000, 0.500]],
  "n_ef_per_ev_atom": 1.3512,
  "magnetic_moment_mub_per_cell": 0.0,
  "spacegroup": "No. 123",
  "dft_energy_ev_per_atom": -39.875
}